# PBE Ir2C, relaxed
# Total moment: 0.00 μB per cell
# Energy above the most stable polymorph in this dataset: 85 meV per atom
# Volume: 12.27 Å³/atom
# Total energy: -8.34 eV per atom
# N(E_F): 7.8 states/eV per cell
data_Ir2C
_cell_length_a 5.0238
_cell_length_b 5.0238
_cell_length_c 5.0506
_cell_angle_alpha 90.00
_cell_angle_beta 90.00
_cell_angle_gamma 120.00
_space_group_name_H-M_alt 'P 1'
_space_group_IT_number 1
loop_
_space_group_symop_operation_xyz
'x,y,z'
loop_
_atom_site_label
_atom_site_fract_x
_atom_site_fract_y
_atom_site_fract_z
Ir1 0.0000 0.3389 0.2441
Ir2 0.0000 0.6611 0.7559
Ir3 0.3389 0.0000 0.2441
Ir4 0.3389 0.3389 0.7559
Ir5 0.6611 0.0000 0.7559
Ir6 0.6611 0.6611 0.2441
C1 0.0000 0.0000 0.0000
C2 0.3333 0.6667 0.5000
C3 0.6667 0.3333 0.5000